1.
Density functional theory data (PBE-GGA) for a geometry-optimized Sm2P3Pt12Rh structure.

The structure in extended XYZ format:
```
18
Lattice="-3.7116 -5.0038 -4.4711 3.6912 -6.5989 -1.2784 -2.8820 -6.1091 3.6301" Properties=species:S:1:pos:R:3 pbc="T T T"
Pt -2.1981 -4.7361 -2.4711
Pt -2.5868 -9.4900 1.2566
Pt -1.7902 -5.2797 1.5129
P -1.4410 -3.0546 1.8150
Pt 0.1395 -8.8281 1.0677
Rh 0.0000 0.0000 0.0000
Pt -3.0419 -8.8837 -3.1872
Pt -4.3448 -12.1912 -1.2185
Pt -1.1122 -12.4320 -3.6324
Pt 1.4424 -5.5206 -0.9010
Pt 1.0188 -9.7586 -1.4358
Pt -3.9211 -7.9531 -0.6836
P -1.8558 -2.5019 -2.2356
Sm -1.1294 -6.8924 -0.8248
Sm -1.7729 -10.8194 -1.2947
Pt -0.7042 -12.9756 0.3516
Pt -0.3155 -8.2218 -3.3760
P 1.8456 -3.2994 -0.6392
```

Uncorrected energy: -6.19 eV per atom
Total magnetic moment: 0.000 Bohr magnetons per cell


2.
Density functional theory data (PBE-GGA) for a geometry-optimized Sm2P4Pt3Rh structure.

The structure in extended XYZ format:
```
10
Lattice="-1.7544 -2.9923 -2.4838 2.5571 1.1653 -3.2101 6.5527 -6.2818 2.9393" Properties=species:S:1:pos:R:3 pbc="T T T"
P 3.2567 -5.4592 0.6124
Pt 4.8955 -7.0302 1.3475
Rh 3.6777 -4.0544 -1.3773
Sm 6.2162 -4.1508 0.6098
P 0.4013 -0.9135 -2.8469
Pt 2.0585 -0.1651 -1.2552
Sm 0.7379 -3.0444 -0.5175
Pt 3.2763 -3.1409 1.4696
P 3.6973 -1.7361 -0.5201
P 0.0000 0.0000 0.0000
```

Uncorrected energy: -6.65 eV per atom
Total magnetic moment: 0.000 Bohr magnetons per cell


3.
Density functional theory data (PBE-GGA) for a geometry-optimized Tb2P3PtRh12 structure.

The structure in extended XYZ format:
```
18
Lattice="-5.0693 -1.4882 4.1028 -2.4028 -5.1789 -3.4859 3.0984 -4.8299 3.4377" Properties=species:S:1:pos:R:3 pbc="T T T"
Rh -1.4675 -4.4722 4.4485
Rh -5.1380 -7.1229 1.6587
P -2.5347 -0.7441 2.0514
Rh -1.9421 -4.5458 -1.0105
P 1.5492 -2.4150 1.7189
Rh -3.2540 -2.7300 2.7231
Rh -4.3475 -5.0300 3.7078
Pt 0.0000 0.0000 0.0000
Rh -1.1197 -8.7670 1.3315
P -1.2014 -2.5894 -1.7430
Tb -2.7292 -7.1741 2.5300
Rh 0.0671 -6.8362 3.3483
Rh -2.9062 -7.0248 -0.3939
Rh 0.7643 -4.3741 2.3959
Rh -0.0262 -6.4670 0.3468
Tb -1.6445 -4.3230 1.5246
Rh -4.4409 -4.6608 0.7063
Rh -2.4316 -6.9513 5.0650
```

Uncorrected energy: -6.83 eV per atom
Total magnetic moment: 0.000 Bohr magnetons per cell


4.
Density functional theory data (PBE-GGA) for a geometry-optimized Tb3P2Pt2Rh5 structure.

The structure in extended XYZ format:
```
12
Lattice="-0.1899 -0.6526 3.9328 -0.6402 -3.8811 -0.6750 13.4076 0.0778 -1.3649" Properties=species:S:1:pos:R:3 pbc="T T T"
Tb 0.0000 0.0000 0.0000
Rh 10.7476 -2.1532 2.1867
Tb 4.4364 -0.7475 0.0902
Rh 1.8299 -2.3028 -0.2938
Tb 8.1411 -3.7085 1.8028
Pt 7.3688 -1.2416 0.1497
Rh -0.4150 -2.2669 1.6289
Rh 2.0551 -0.6886 2.0101
P 9.6962 -1.6337 0.1970
P 2.8813 -2.8223 1.6959
Pt 5.2087 -3.2144 1.7432
Rh 10.5224 -3.7674 -0.1172
```

Uncorrected energy: -7.13 eV per atom
Total magnetic moment: 0.000 Bohr magnetons per cell


5.
Density functional theory data (PBE-GGA) for a geometry-optimized TbP2PtRh2 structure.

The structure in extended XYZ format:
```
12
Lattice="-3.1594 1.7227 -1.9543 -1.5259 -5.5518 -2.4269 -4.9066 -1.5295 6.5839" Properties=species:S:1:pos:R:3 pbc="T T T"
Tb -2.3426 -1.9145 -2.1906
P -5.3595 -1.5024 3.0498
Rh -4.1706 -3.2697 3.8601
Tb -2.4533 -0.7647 3.2920
Pt 0.0000 0.0000 0.0000
Rh -2.2619 -3.8115 0.2970
Rh -2.8757 -0.1111 0.2609
P -5.0558 -5.2995 3.5019
Pt -4.7960 -2.6793 1.1014
P -1.3767 -1.7817 0.6551
P -4.2324 -3.8562 -0.8471
Rh -6.7162 -5.2475 1.9418
```

Uncorrected energy: -6.79 eV per atom
Total magnetic moment: 0.000 Bohr magnetons per cell


6.
Density functional theory data (PBE-GGA) for a geometry-optimized Tb4P3PtRh12 structure.

The structure in extended XYZ format:
```
20
Lattice="-2.6629 6.9984 2.3520 -4.5233 -2.6998 -5.8183 -0.1992 -5.0328 6.0193" Properties=species:S:1:pos:R:3 pbc="T T T"
Tb -3.6927 -0.3671 1.2765
Tb -2.2616 -1.3499 -2.9091
Rh -5.2432 3.1364 -2.5290
Rh -4.3086 2.6407 0.3597
Rh -1.2768 -2.0907 0.0544
Rh -3.0767 -3.3749 2.1934
Pt 0.0000 0.0000 0.0000
Rh -3.2276 2.0575 3.3191
P -2.3612 -3.8663 0.1005
Rh -0.7738 0.5315 2.2634
Rh -4.7737 0.2162 -1.6829
Rh -2.0882 1.4341 6.1079
Rh -1.9430 1.1623 -0.9372
Tb -0.0996 -2.5164 3.0097
Rh -2.6117 -0.9503 4.2359
P -3.5931 2.1493 -1.7331
Rh -3.4456 -5.6419 0.1467
Rh -4.1578 -2.7916 -0.7660
Tb -1.3315 3.4992 1.1760
P -1.4310 0.9828 4.1857
```

Uncorrected energy: -6.93 eV per atom
Total magnetic moment: 0.000 Bohr magnetons per cell


7.
Density functional theory data (PBE-GGA) for a geometry-optimized TbPPtRh structure.

The structure in extended XYZ format:
```
8
Lattice="-2.6786 -2.1911 -1.7556 2.7627 -1.6244 -2.1877 1.2004 -6.6214 6.4324" Properties=species:S:1:pos:R:3 pbc="T T T"
P -0.5574 -5.4082 3.3118
Rh 0.6423 -5.2184 1.2445
Pt 1.4913 -1.4184 -0.5050
Tb -1.0696 -2.5831 0.5673
Rh 0.6002 -3.3107 3.2162
Pt -0.2487 -7.1107 4.9657
P 1.7999 -3.1209 1.1490
Tb 2.3121 -5.9460 3.8934
```

Uncorrected energy: -6.98 eV per atom
Total magnetic moment: 0.000 Bohr magnetons per cell


8.
Density functional theory data (PBE-GGA) for a geometry-optimized Tb3P2PtRh9 structure.

The structure in extended XYZ format:
```
15
Lattice="-2.4589 0.6148 -5.4719 3.5665 -4.7147 1.1906 -7.2336 -4.7870 2.7127" Properties=species:S:1:pos:R:3 pbc="T T T"
Rh 0.7078 -5.2175 0.9325
Tb 0.0000 0.0000 0.0000
Tb -2.6919 -2.6451 -2.4105
Pt -3.6168 -2.3935 1.3563
P -6.5110 -5.1725 -0.9783
Rh -5.4747 -4.0093 0.5235
Rh 0.5538 -2.0499 -2.1407
Rh -0.6513 -4.8777 -2.0921
Rh -1.2294 0.3074 -2.7360
Rh -4.8624 -6.2755 -1.8430
Rh 1.7833 -2.3573 0.5953
Rh -1.2636 -2.6114 0.2744
P 0.3851 -3.7145 -0.5904
Rh -6.8338 -3.6694 -2.5011
Tb -3.4341 -6.2418 0.8418
```

Uncorrected energy: -7.00 eV per atom
Total magnetic moment: 0.000 Bohr magnetons per cell


9.
Density functional theory data (PBE-GGA) for a geometry-optimized Th2P3PtRh4 structure.

The structure in extended XYZ format:
```
10
Lattice="3.9841 0.0000 0.0000 0.0000 3.9841 0.0000 0.0000 0.0000 10.9549" Properties=species:S:1:pos:R:3 pbc="T T T"
P 1.9920 0.0000 9.6118
Rh 0.0000 0.0000 0.0000
P 0.0000 0.0000 5.4775
Rh 1.9920 1.9920 0.0000
Rh 0.0000 1.9920 3.6105
Rh 1.9920 0.0000 7.3445
Th 1.9920 0.0000 2.8081
P 0.0000 1.9920 1.3431
Pt 1.9920 1.9920 5.4775
Th 0.0000 1.9920 8.1468
```

Uncorrected energy: -7.66 eV per atom
Total magnetic moment: 0.000 Bohr magnetons per cell


10.
Density functional theory data (PBE-GGA) for a geometry-optimized Th3P2PtRh9 structure.

The structure in extended XYZ format:
```
15
Lattice="7.0815 0.0000 0.0000 -3.5407 6.1327 0.0000 0.0000 0.0000 6.6274" Properties=species:S:1:pos:R:3 pbc="T T T"
Pt 0.0000 0.0000 3.3137
P 3.5407 2.0442 5.7192
P 0.0000 4.0885 0.9082
Rh 1.7704 3.0664 0.0000
Rh 1.4939 4.9510 2.3396
Rh 3.5407 0.0000 0.0000
Rh 2.0468 1.1817 4.2878
Rh -1.7704 3.0664 0.0000
Th 3.5407 2.0442 2.1189
Rh -1.4939 4.9510 2.3396
Th 0.0000 0.0000 0.0000
Rh 3.5407 3.7693 4.2878
Th 0.0000 4.0885 4.5084
Rh 0.0000 2.3635 2.3396
Rh 5.0346 1.1817 4.2878
```

Uncorrected energy: -7.59 eV per atom
Total magnetic moment: 0.000 Bohr magnetons per cell


11.
Density functional theory data (PBE-GGA) for a geometry-optimized Th2PPt2Rh4 structure.

The structure in extended XYZ format:
```
9
Lattice="-0.4172 -3.9303 -4.6661 -0.9431 -1.9432 5.7209 -4.2702 4.3125 0.7492" Properties=species:S:1:pos:R:3 pbc="T T T"
P 0.0000 0.0000 0.0000
Rh -3.3959 2.6686 2.0557
Pt -3.8042 1.7289 4.7212
Rh -1.8174 -0.2993 4.4144
Th -3.6471 0.7834 -0.3409
Pt -1.4092 0.6404 1.7489
Rh -4.0413 -0.1180 2.5561
Rh -1.5892 -1.4430 -0.7521
Th -1.9835 -2.3444 2.1449
```

Uncorrected energy: -7.84 eV per atom
Total magnetic moment: 0.000 Bohr magnetons per cell


12.
Density functional theory data (PBE-GGA) for a geometry-optimized Th2P3PtRh12 structure.

The structure in extended XYZ format:
```
18
Lattice="6.9770 -0.8328 -0.5907 2.7214 6.4781 -0.5907 2.7214 1.5841 6.3092" Properties=species:S:1:pos:R:3 pbc="T T T"
P 1.3607 0.7920 3.1546
Rh 5.2307 0.7049 0.5000
Rh 9.2237 3.0292 4.6277
Rh 7.1891 6.5244 4.6277
Rh 8.1683 1.9423 1.3777
P 1.3607 3.2391 -0.2954
Rh 3.1962 4.2002 0.5000
Rh 6.6969 3.8982 -0.2150
Rh 9.2237 5.3689 1.3290
Rh 5.7229 3.3312 5.3427
P 3.4885 -0.4164 -0.2954
Rh 5.7229 6.1435 1.3777
Th 7.5701 4.4064 3.1254
Rh 3.1962 1.8604 3.7987
Th 4.8498 2.8230 2.0023
Rh 6.6969 1.0858 3.7501
Rh 4.2515 5.2871 3.7501
Pt 0.0000 0.0000 0.0000
```

Uncorrected energy: -7.25 eV per atom
Total magnetic moment: 0.000 Bohr magnetons per cell


13.
Density functional theory data (PBE-GGA) for a geometry-optimized ThPPtRh structure.

The structure in extended XYZ format:
```
8
Lattice="3.9655 0.0000 0.0000 0.0000 3.9655 0.0000 0.0000 0.0000 9.5370" Properties=species:S:1:pos:R:3 pbc="T T T"
Pt 1.9827 0.0000 8.6911
Th 0.0000 1.9827 7.3610
Th 1.9827 0.0000 2.1760
Pt 0.0000 1.9827 0.8459
P 1.9827 0.0000 6.1438
Rh 0.0000 0.0000 4.7685
P 0.0000 1.9827 3.3932
Rh 1.9827 1.9827 4.7685
```

Uncorrected energy: -7.65 eV per atom
Total magnetic moment: 0.001 Bohr magnetons per cell


14.
Density functional theory data (PBE-GGA) for a geometry-optimized Th2P4PtRh3 structure.

The structure in extended XYZ format:
```
10
Lattice="4.2637 0.0000 0.0000 0.0000 4.2637 0.0000 0.0000 0.0000 9.4230" Properties=species:S:1:pos:R:3 pbc="T T T"
Th 0.0000 2.1319 7.1188
Th 2.1319 0.0000 2.3042
Pt 2.1319 2.1319 4.7115
P 0.0000 2.1319 3.4148
P 2.1319 0.0000 6.0082
Rh 0.0000 0.0000 4.7115
Rh 2.1319 0.0000 8.3815
Rh 0.0000 2.1319 1.0415
P 2.1319 2.1319 0.0000
P 0.0000 0.0000 0.0000
```

Uncorrected energy: -7.57 eV per atom
Total magnetic moment: 0.000 Bohr magnetons per cell


15.
Density functional theory data (PBE-GGA) for a geometry-optimized TmP2PtRh2 structure.

The structure in extended XYZ format:
```
12
Lattice="4.1198 0.0000 0.0000 0.0000 6.2704 0.0000 0.0000 0.0000 7.9555" Properties=species:S:1:pos:R:3 pbc="T T T"
Rh 2.0599 5.4386 6.0584
Tm 0.0000 0.0000 3.9778
Rh 2.0599 0.8318 1.8971
Pt 0.0000 0.0000 0.0000
P 0.0000 1.7626 1.5826
Rh 0.0000 3.9671 2.0807
P 2.0599 1.3726 5.5604
Rh 0.0000 2.3034 5.8748
P 2.0599 4.8978 2.3951
P 0.0000 4.5079 6.3729
Pt 2.0599 3.1352 3.9778
Tm 2.0599 3.1352 0.0000
```

Uncorrected energy: -6.75 eV per atom
Total magnetic moment: 0.000 Bohr magnetons per cell


16.
Density functional theory data (PBE-GGA) for a geometry-optimized TmP2PtRh5 structure.

The structure in extended XYZ format:
```
9
Lattice="4.5401 0.0000 0.0000 0.0000 4.5401 0.0000 0.0000 0.0000 6.8681" Properties=species:S:1:pos:R:3 pbc="T T T"
Rh 0.0000 2.2701 1.5105
Tm 0.0000 0.0000 3.4341
Rh 2.2701 2.2701 3.4341
P 2.2701 2.2701 1.0954
Rh 2.2701 0.0000 1.5105
Rh 0.0000 2.2701 5.3576
P 2.2701 2.2701 5.7727
Pt 0.0000 0.0000 0.0000
Rh 2.2701 0.0000 5.3576
```

Uncorrected energy: -6.92 eV per atom
Total magnetic moment: 0.000 Bohr magnetons per cell


17.
Density functional theory data (PBE-GGA) for a geometry-optimized Tm3P2Pt2Rh5 structure.

The structure in extended XYZ format:
```
12
Lattice="-0.7349 2.7955 -2.7016 -3.8744 -0.7534 0.2744 1.2503 7.8487 10.6784" Properties=species:S:1:pos:R:3 pbc="T T T"
P -0.7840 6.5957 7.0381
Pt -2.7646 4.8908 2.9156
Tm -0.3586 3.0167 3.2190
Rh -0.5415 2.8619 0.2115
Tm 0.0000 0.0000 0.0000
Pt -0.5944 5.0001 5.3355
Rh -1.2478 8.8034 6.5516
Tm -3.0004 6.8742 5.0321
Rh -2.8175 7.0290 8.0397
Rh -2.1112 1.0874 1.6995
Rh -2.3046 1.0211 -1.2136
P -2.5750 3.2952 1.2131
```

Uncorrected energy: -7.12 eV per atom
Total magnetic moment: 0.000 Bohr magnetons per cell


18.
Density functional theory data (PBE-GGA) for a geometry-optimized Tm3P2PtRh9 structure.

The structure in extended XYZ format:
```
15
Lattice="-4.6042 -1.6593 3.5324 3.9291 -4.1333 -1.9768 5.1307 1.3709 7.3314" Properties=species:S:1:pos:R:3 pbc="T T T"
Rh 1.8578 -1.0999 1.9049
Tm 0.0000 0.0000 0.0000
Rh 1.9646 -2.0666 -0.9884
P 2.5290 -1.3380 7.8243
Rh 1.4822 -4.3228 2.7704
Rh 4.0440 -3.3996 0.8050
Tm -0.2999 -2.0939 3.7820
Pt 2.5653 0.6854 3.6657
Rh 2.9734 -0.0989 6.1166
Rh 0.4116 -1.0221 8.0820
Rh 2.5977 -3.3218 6.9821
Tm 4.7555 -2.3278 5.1050
P 1.9266 -3.0837 1.0627
Rh -0.3375 -2.8963 0.7778
Rh -2.3021 -0.8297 1.7662
```

Uncorrected energy: -6.97 eV per atom
Total magnetic moment: 0.000 Bohr magnetons per cell


19.
Density functional theory data (PBE-GGA) for a geometry-optimized UP2Pt2Rh structure.

The structure in extended XYZ format:
```
12
Lattice="4.3049 0.0000 0.0000 0.0000 6.9980 0.0000 0.0000 0.0000 6.6740" Properties=species:S:1:pos:R:3 pbc="T T T"
Pt 2.1525 3.8971 5.8793
Pt 2.1525 0.3980 0.7947
P 0.0000 1.1181 5.4228
Rh 2.1525 4.7796 2.0090
U 0.0000 3.4844 3.8976
P 0.0000 4.6171 1.2512
P 2.1525 2.1326 2.4425
P 2.1525 5.6316 4.2314
U 0.0000 6.9834 2.7764
Pt 0.0000 2.4024 0.6475
Rh 2.1525 1.2806 4.6650
Pt 0.0000 5.9014 6.0264
```

Uncorrected energy: -7.53 eV per atom
Total magnetic moment: 4.267 Bohr magnetons per cell


20.
Density functional theory data (PBE-GGA) for a geometry-optimized Y2P3PtRh4 structure.

The structure in extended XYZ format:
```
10
Lattice="-1.4833 1.7807 3.2032 -0.5140 -3.5226 1.7202 9.8150 0.6192 4.2008" Properties=species:S:1:pos:R:3 pbc="T T T"
Pt 3.9088 -0.5613 4.5621
P 7.8394 1.4318 5.2742
Rh 3.0002 -1.5558 2.2542
Rh 5.8161 1.3041 4.4083
Y 7.0118 -1.3027 3.9711
P 4.9075 0.3096 2.1004
Y 1.8045 1.0510 2.6914
Rh 0.0000 0.0000 0.0000
Rh -0.9987 -0.8709 2.4617
P 0.9770 -1.6834 1.3882
```

Uncorrected energy: -7.40 eV per atom
Total magnetic moment: 0.000 Bohr magnetons per cell